HfVSb2N | PBE-GGA | optimized geometry

Unit cell a=5.388 b=5.388 c=4.641 alpha=90.00 beta=90.00 gamma=90.00
Element x y z (fractional)
Hf (0.000, 0.000, 0.000)
V (0.000, 0.000, 0.500)
Sb (0.000, 0.500, 0.000)
Sb (0.500, 0.000, 0.000)
N (0.500, 0.500, 0.500)

energy relative to the elements, uncorrected	2.03	eV per atom
ρ	6.00	g/cm3
total moment	0.000	μB/atom
DFT total energy	-25.51	eV for the cell shown